1.
{
  "formula": "LiNb3O7F",
  "functional": "PBE-GGA",
  "state": "optimized geometry",
  "cell": [[4.051, 0.000, 0.000], [0.000, 3.907, 0.001], [0.000, 1.950, 10.699]],
  "species": ["Nb", "Nb", "Nb", "O", "O", "O", "O", "O", "O", "O", "F", "Li"],
  "frac_coords": [[0.000, 0.967, 0.021], [0.000, 0.175, 0.658], [0.000, 0.813, 0.382], [0.500, 0.804, 0.401], [0.000, 0.897, 0.209], [0.000, 0.701, 0.608], [0.500, 0.181, 0.647], [0.000, 0.085, 0.832], [0.000, 0.285, 0.439], [0.000, 0.483, 0.020], [0.500, 0.981, 0.021], [0.500, 0.712, 0.585]],
  "m_tot_mub_per_cell": 0.104,
  "spacegroup": "No. 6",
  "total_energy_ev_per_atom": -8.25,
  "e_form_raw_mev_per_atom": -2526
}

2.
{
  "formula": "LiNbO2F",
  "functional": "PBE-GGA",
  "state": "optimized geometry",
  "cell": [[-0.332, 3.388, -2.116], [-1.605, -2.057, -3.042], [-3.836, 0.625, 1.602]],
  "species": ["O", "O", "Li", "Nb", "F"],
  "frac_coords": [[0.000, 0.500, 0.000], [0.500, 0.000, 0.000], [0.500, 0.500, 0.500], [0.000, 0.000, 0.000], [0.000, 0.000, 0.500]],
  "m_tot_mub_per_cell": 0.622,
  "spacegroup": "No. 123",
  "total_energy_ev_per_atom": -7.01,
  "e_form_raw_mev_per_atom": -2261
}

3.
{
  "formula": "Li2NbOF5",
  "functional": "PBE-GGA",
  "state": "optimized geometry",
  "cell": [[-3.815, -0.933, 3.178], [3.709, -3.387, -0.543], [2.361, 1.983, 3.467]],
  "species": ["Li", "Li", "F", "F", "F", "F", "F", "O", "Nb"],
  "frac_coords": [[0.347, 0.666, 0.492], [0.666, 0.347, 0.492], [0.679, 0.679, 0.256], [0.311, 0.991, 0.254], [0.674, 0.995, 0.758], [0.991, 0.311, 0.254], [0.995, 0.674, 0.758], [0.310, 0.310, 0.754], [0.025, 0.025, 0.980]],
  "m_tot_mub_per_cell": 0.024,
  "spacegroup": "No. 8",
  "total_energy_ev_per_atom": -6.09,
  "e_form_raw_mev_per_atom": -2952
}

4.
{
  "formula": "Li2NbOF5",
  "functional": "PBE-GGA",
  "state": "optimized geometry",
  "cell": [[5.053, 0.000, 0.000], [-2.526, 4.376, 0.000], [0.000, 0.000, 13.925]],
  "species": ["F", "F", "F", "F", "F", "F", "F", "F", "F", "F", "F", "F", "F", "F", "F", "O", "O", "O", "Li", "Li", "Li", "Li", "Li", "Li", "Nb", "Nb", "Nb"],
  "frac_coords": [[0.983, 0.657, 0.248], [0.982, 0.320, 0.746], [0.656, 0.008, 0.581], [0.674, 0.017, 0.915], [0.670, 0.021, 0.249], [0.351, 0.330, 0.916], [0.342, 0.001, 0.748], [0.352, 0.344, 0.247], [0.680, 0.662, 0.079], [0.999, 0.340, 0.082], [0.992, 0.648, 0.914], [0.660, 0.658, 0.415], [0.343, 0.326, 0.582], [0.338, 0.018, 0.413], [0.979, 0.649, 0.582], [0.977, 0.342, 0.415], [0.658, 0.635, 0.749], [0.365, 0.023, 0.082], [0.332, 0.675, 0.503], [0.343, 0.668, 0.169], [0.325, 0.657, 0.836], [0.985, 0.011, 0.503], [0.026, 0.015, 0.170], [0.989, 0.974, 0.836], [0.661, 0.354, 0.673], [0.693, 0.339, 0.340], [0.646, 0.307, 0.007]],
  "m_tot_mub_per_cell": 0.000,
  "spacegroup": "No. 144",
  "total_energy_ev_per_atom": -6.09,
  "e_form_raw_mev_per_atom": -2952
}

5.
{
  "formula": "SrLiNb2O6F",
  "functional": "PBE-GGA",
  "state": "optimized geometry",
  "cell": [[-0.971, 7.075, -8.026], [1.225, 2.621, -10.346], [-2.638, -5.805, 8.646]],
  "species": ["O", "O", "O", "O", "O", "O", "Sr", "Nb", "Nb", "F", "Li"],
  "frac_coords": [[0.706, 0.706, 0.000], [0.294, 0.294, 0.000], [0.594, 0.094, 0.500], [0.407, 0.907, 0.500], [0.906, 0.406, 0.500], [0.093, 0.593, 0.500], [0.000, 0.000, 0.000], [0.619, 0.619, 0.000], [0.381, 0.381, 0.000], [0.500, 0.500, 0.000], [0.750, 0.250, 0.500]],
  "relative_energy_ev_per_atom": 0.000,
  "m_tot_mub_per_cell": 0.000,
  "spacegroup": "No. 119",
  "total_energy_ev_per_atom": -7.81,
  "e_form_raw_mev_per_atom": -2780
}

6.
{
  "formula": "SrLiNb2O6F",
  "functional": "PBE-GGA",
  "state": "optimized geometry",
  "cell": [[5.608, 0.000, 0.000], [0.000, 5.597, 0.035], [0.000, 2.623, 10.339]],
  "species": ["O", "O", "O", "O", "O", "O", "O", "O", "O", "O", "O", "O", "Nb", "Nb", "Nb", "Nb", "F", "F", "Sr", "Sr", "Li", "Li"],
  "frac_coords": [[0.196, 0.463, 0.024], [0.321, 0.692, 0.600], [0.496, 0.836, 0.829], [0.669, 0.802, 0.388], [0.804, 0.963, 0.024], [0.000, 0.847, 0.796], [0.439, 0.729, 0.175], [0.331, 0.302, 0.388], [0.000, 0.347, 0.796], [0.679, 0.192, 0.600], [0.504, 0.336, 0.829], [0.561, 0.229, 0.175], [0.743, 0.111, 0.770], [0.257, 0.611, 0.770], [0.276, 0.423, 0.214], [0.724, 0.923, 0.214], [0.059, 0.075, 0.230], [0.941, 0.575, 0.230], [0.238, 0.024, 0.980], [0.762, 0.524, 0.980], [0.510, 0.499, 0.492], [0.490, 0.999, 0.492]],
  "relative_energy_ev_per_atom": 0.089,
  "m_tot_mub_per_cell": 0.000,
  "spacegroup": "No. 7",
  "total_energy_ev_per_atom": -7.72,
  "e_form_raw_mev_per_atom": -2691
}